Entry 1:
This record from Alexandria describes a relaxed InRuW2 crystal. The functional is GGA-PBE.

Values from the calculation:
- space-group type = P4mm
- final energy (eV per atom) = -9.233

CIF file:
```
data_InRuW2
_cell_length_a 2.887
_cell_length_b 2.887
_cell_length_c 8.033
_cell_angle_alpha 90.00
_cell_angle_beta 90.00
_cell_angle_gamma 90.00
_symmetry_space_group_name_H-M 'P 1'
_symmetry_Int_Tables_number 1
_symmetry_space_group_name_Hall 'P 1'
loop_
_atom_site_label
_atom_site_type_symbol
_atom_site_fract_x
_atom_site_fract_y
_atom_site_fract_z
In1 In 0.000 0.000 0.516
Ru1 Ru 0.500 0.500 0.770
W1 W 0.000 0.000 0.980
W2 W 0.500 0.500 0.234
```

=====

Entry 2:
This record from Alexandria describes a relaxed InRu3W crystal. The functional is GGA-PBE.

Values from the calculation:
- energy relative to the lowest polymorph listed for this composition (meV/atom) = 1123
- space-group type = Pm-3m

CIF file:
```
data_InRu3W
_cell_length_a 4.667
_cell_length_b 4.667
_cell_length_c 4.667
_cell_angle_alpha 90.00
_cell_angle_beta 90.00
_cell_angle_gamma 90.00
_symmetry_space_group_name_H-M 'P 1'
_symmetry_Int_Tables_number 1
_symmetry_space_group_name_Hall 'P 1'
loop_
_atom_site_label
_atom_site_type_symbol
_atom_site_fract_x
_atom_site_fract_y
_atom_site_fract_z
Ru1 Ru 0.000 0.500 0.000
Ru2 Ru 0.000 0.000 0.500
Ru3 Ru 0.500 0.000 0.000
W1 W 0.500 0.500 0.500
In1 In 0.000 0.000 0.000
```

=====

Entry 3:
This record from Alexandria describes a relaxed InRu3W crystal. The functional is GGA-PBE.

Values from the calculation:
- energy relative to the lowest polymorph listed for this composition (meV/atom) = 0
- space-group type = Pm-3m

CIF file:
```
data_InRu3W
_cell_length_a 4.694
_cell_length_b 4.694
_cell_length_c 4.694
_cell_angle_alpha 90.00
_cell_angle_beta 90.00
_cell_angle_gamma 90.00
_symmetry_space_group_name_H-M 'P 1'
_symmetry_Int_Tables_number 1
_symmetry_space_group_name_Hall 'P 1'
loop_
_atom_site_label
_atom_site_type_symbol
_atom_site_fract_x
_atom_site_fract_y
_atom_site_fract_z
Ru1 Ru 0.000 0.500 0.000
Ru2 Ru 0.000 0.000 0.500
Ru3 Ru 0.500 0.000 0.000
W1 W 0.000 0.000 0.000
In1 In 0.500 0.500 0.500
```

=====

Entry 4:
This record from Alexandria describes a relaxed InRu2W crystal. The functional is GGA-PBE.

Values from the calculation:
- energy relative to the lowest polymorph listed for this composition (meV/atom) = 225
- space-group type = C2/m

CIF file:
```
data_InRu2W
_cell_length_a 4.756
_cell_length_b 4.756
_cell_length_c 5.093
_cell_angle_alpha 79.06
_cell_angle_beta 79.06
_cell_angle_gamma 35.32
_symmetry_space_group_name_H-M 'P 1'
_symmetry_Int_Tables_number 1
_symmetry_space_group_name_Hall 'P 1'
loop_
_atom_site_label
_atom_site_type_symbol
_atom_site_fract_x
_atom_site_fract_y
_atom_site_fract_z
In1 In 0.250 0.250 0.250
Ru1 Ru 0.010 0.010 0.965
Ru2 Ru 0.490 0.490 0.535
W1 W 0.750 0.750 0.750
```

=====

Entry 5:
This record from Alexandria describes a relaxed InRuW2 crystal. The functional is GGA-PBE.

Values from the calculation:
- space-group type = R-3m
- final energy (eV per atom) = -9.079

CIF file:
```
data_InRuW2
_cell_length_a 9.485
_cell_length_b 9.485
_cell_length_c 9.485
_cell_angle_alpha 17.44
_cell_angle_beta 17.44
_cell_angle_gamma 17.44
_symmetry_space_group_name_H-M 'P 1'
_symmetry_Int_Tables_number 1
_symmetry_space_group_name_Hall 'P 1'
loop_
_atom_site_label
_atom_site_type_symbol
_atom_site_fract_x
_atom_site_fract_y
_atom_site_fract_z
In1 In 0.250 0.250 0.250
Ru1 Ru 0.750 0.750 0.750
W1 W 0.006 0.006 0.006
W2 W 0.494 0.494 0.494
```

=====

Entry 6:
This record from Alexandria describes a relaxed InRuW4 crystal. The functional is GGA-PBE.

Values from the calculation:
- space-group type = F-43m
- final energy (eV per atom) = -10.073

CIF file:
```
data_InRuW4
_cell_length_a 5.284
_cell_length_b 5.284
_cell_length_c 5.284
_cell_angle_alpha 60.00
_cell_angle_beta 60.00
_cell_angle_gamma 60.00
_symmetry_space_group_name_H-M 'P 1'
_symmetry_Int_Tables_number 1
_symmetry_space_group_name_Hall 'P 1'
loop_
_atom_site_label
_atom_site_type_symbol
_atom_site_fract_x
_atom_site_fract_y
_atom_site_fract_z
In1 In 0.750 0.750 0.750
Ru1 Ru 0.000 0.000 0.000
W1 W 0.871 0.376 0.376
W2 W 0.376 0.376 0.871
W3 W 0.376 0.871 0.376
W4 W 0.376 0.376 0.376
```

=====

Entry 7:
This record from Alexandria describes a relaxed InRuW2 crystal. The functional is GGA-PBE.

Values from the calculation:
- space-group type = I-4m2
- final energy (eV per atom) = -9.047

CIF file:
```
data_InRuW2
_cell_length_a 4.876
_cell_length_b 4.876
_cell_length_c 4.876
_cell_angle_alpha 130.13
_cell_angle_beta 130.13
_cell_angle_gamma 73.21
_symmetry_space_group_name_H-M 'P 1'
_symmetry_Int_Tables_number 1
_symmetry_space_group_name_Hall 'P 1'
loop_
_atom_site_label
_atom_site_type_symbol
_atom_site_fract_x
_atom_site_fract_y
_atom_site_fract_z
In1 In 0.500 0.500 0.000
Ru1 Ru 0.750 0.250 0.500
W1 W 0.000 0.000 0.000
W2 W 0.250 0.750 0.500
```

=====

Entry 8:
This record from Alexandria describes a relaxed InRu2W crystal. The functional is GGA-PBE.

Values from the calculation:
- energy relative to the lowest polymorph listed for this composition (meV/atom) = 277
- space-group type = P4mm

CIF file:
```
data_InRu2W
_cell_length_a 2.840
_cell_length_b 2.840
_cell_length_c 7.971
_cell_angle_alpha 90.00
_cell_angle_beta 90.00
_cell_angle_gamma 90.00
_symmetry_space_group_name_H-M 'P 1'
_symmetry_Int_Tables_number 1
_symmetry_space_group_name_Hall 'P 1'
loop_
_atom_site_label
_atom_site_type_symbol
_atom_site_fract_x
_atom_site_fract_y
_atom_site_fract_z
In1 In 0.500 0.500 0.762
Ru1 Ru 0.000 0.000 0.020
Ru2 Ru 0.500 0.500 0.241
W1 W 0.000 0.000 0.477
```

=====

Entry 9:
This record from Alexandria describes a relaxed InRuW2 crystal. The functional is GGA-PBE.

Values from the calculation:
- space-group type = C2/m
- final energy (eV per atom) = -9.022

CIF file:
```
data_InRuW2
_cell_length_a 5.235
_cell_length_b 5.235
_cell_length_c 2.824
_cell_angle_alpha 82.95
_cell_angle_beta 82.95
_cell_angle_gamma 118.20
_symmetry_space_group_name_H-M 'P 1'
_symmetry_Int_Tables_number 1
_symmetry_space_group_name_Hall 'P 1'
loop_
_atom_site_label
_atom_site_type_symbol
_atom_site_fract_x
_atom_site_fract_y
_atom_site_fract_z
In1 In 0.500 0.000 0.500
Ru1 Ru 0.000 0.500 0.500
W1 W 0.000 0.000 0.000
W2 W 0.500 0.500 0.000
```

=====

Entry 10:
This record from Alexandria describes a relaxed InRu2W crystal. The functional is GGA-PBE.

Values from the calculation:
- energy relative to the lowest polymorph listed for this composition (meV/atom) = 180
- space-group type = Cm

CIF file:
```
data_InRu2W
_cell_length_a 5.034
_cell_length_b 5.034
_cell_length_c 4.595
_cell_angle_alpha 74.04
_cell_angle_beta 74.04
_cell_angle_gamma 35.26
_symmetry_space_group_name_H-M 'P 1'
_symmetry_Int_Tables_number 1
_symmetry_space_group_name_Hall 'P 1'
loop_
_atom_site_label
_atom_site_type_symbol
_atom_site_fract_x
_atom_site_fract_y
_atom_site_fract_z
In1 In 0.250 0.250 0.208
Ru1 Ru 0.001 0.001 0.037
Ru2 Ru 0.760 0.760 0.695
W1 W 0.488 0.488 0.560
```

=====

Entry 11:
This record from Alexandria describes a relaxed InRuW2 crystal. The functional is GGA-PBE.

Values from the calculation:
- space-group type = P4/mmm
- final energy (eV per atom) = -9.051

CIF file:
```
data_InRuW2
_cell_length_a 4.396
_cell_length_b 3.877
_cell_length_c 3.877
_cell_angle_alpha 90.00
_cell_angle_beta 90.00
_cell_angle_gamma 90.00
_symmetry_space_group_name_H-M 'P 1'
_symmetry_Int_Tables_number 1
_symmetry_space_group_name_Hall 'P 1'
loop_
_atom_site_label
_atom_site_type_symbol
_atom_site_fract_x
_atom_site_fract_y
_atom_site_fract_z
In1 In 0.500 0.500 0.000
Ru1 Ru 0.500 0.000 0.500
W1 W 0.000 0.000 0.000
W2 W 0.000 0.500 0.500
```

=====

Entry 12:
This record from Alexandria describes a relaxed InRuW2 crystal. The functional is GGA-PBE.

Values from the calculation:
- space-group type = P4mm
- final energy (eV per atom) = -9.196

CIF file:
```
data_InRuW2
_cell_length_a 3.189
_cell_length_b 3.189
_cell_length_c 6.593
_cell_angle_alpha 90.00
_cell_angle_beta 90.00
_cell_angle_gamma 90.00
_symmetry_space_group_name_H-M 'P 1'
_symmetry_Int_Tables_number 1
_symmetry_space_group_name_Hall 'P 1'
loop_
_atom_site_label
_atom_site_type_symbol
_atom_site_fract_x
_atom_site_fract_y
_atom_site_fract_z
In1 In 0.000 0.000 0.507
Ru1 Ru 0.500 0.500 0.769
W1 W 0.000 0.000 0.998
W2 W 0.500 0.500 0.226
```